Material: Li4LaMn
Method: DFT, GGA-PBE
State: optimized geometry

Cell lengths 5.5909, 5.5909, 5.5909 Å; angles 60.00, 60.00, 60.00 degrees
With the nearest neighbours (Å) after each atom.
Positions (direct):
Li (0.1220, 0.1220, 0.1220)  6 Li 2.73-2.86
Li (0.1220, 0.1220, 0.6341)  6 Li 2.73-2.86
Li (0.1220, 0.6341, 0.1220)  6 Li 2.73-2.86
Li (0.6341, 0.1220, 0.1220)  6 Li 2.73-2.86
La (0.5000, 0.5000, 0.5000)  12 Li 3.29, 4 Mn 3.42
Mn (0.7500, 0.7500, 0.7500)  12 Li 3.27, 4 La 3.42

Calculated values
For the energy relative to the elements, the calculation gives 0.218 eV per atom. The calculated total energy comes out at -3.407 eV per atom. The space-group type is F-43m (216).

***

Material: LiLa2Mn2
Method: DFT, GGA-PBE
State: optimized geometry

Cell lengths 8.0113, 8.0113, 3.9674 Å; angles 90.00, 90.00, 90.00 degrees
With the nearest neighbours (Å) after each atom.
Positions (direct):
Li (0.0000, 0.0000, 0.0000)  4 Mn 3.23, 8 La 3.57
Li (0.5000, 0.5000, 0.0000)  4 Mn 3.23, 8 La 3.57
La (0.1727, 0.3273, 0.5000)  6 Mn 3.07-3.13
La (0.3273, 0.8273, 0.5000)  6 Mn 3.07-3.13
La (0.6727, 0.1727, 0.5000)  6 Mn 3.07-3.13
La (0.8273, 0.6727, 0.5000)  6 Mn 3.07-3.13
Mn (0.1132, 0.6132, 0.0000)  1 Mn 2.56
Mn (0.3868, 0.1132, 0.0000)  1 Mn 2.56
Mn (0.6132, 0.8868, 0.0000)  1 Mn 2.56
Mn (0.8868, 0.3868, 0.0000)  1 Mn 2.56

Calculated values
For the energy relative to the elements, the calculation gives 0.270 eV per atom. The calculated total energy comes out at -5.751 eV per atom. The space-group type is P4/mbm (127).

***

Material: LiLaMn3
Method: DFT, GGA-PBE
State: optimized geometry

Cell lengths 4.4708, 4.4708, 4.4708 Å; angles 90.00, 90.00, 90.00 degrees
With the nearest neighbours (Å) after each atom.
Positions (direct):
Li (0.0000, 0.0000, 0.0000)  12 Mn 3.16
La (0.5000, 0.5000, 0.5000)  6 Mn 2.24
Mn (0.0000, 0.5000, 0.5000)  2 La 2.24
Mn (0.5000, 0.0000, 0.5000)  2 La 2.24
Mn (0.5000, 0.5000, 0.0000)  2 La 2.24

Calculated values
For the energy relative to the elements, the calculation gives 1.913 eV per atom. The calculated total energy comes out at -4.957 eV per atom. The space-group type is Pm-3m (221). For the distance to the lowest polymorph of the same formula, the calculation gives 6.16 eV per formula unit.

***

Material: LiLa2Mn
Method: DFT, GGA-PBE
State: optimized geometry

Cell lengths 3.6673, 3.6673, 8.2520 Å; angles 90.00, 90.00, 90.00 degrees
With the nearest neighbours (Å) after each atom.
Positions (direct):
Li (0.0000, 0.0000, 0.0000)  8 La 3.47, 4 Li 3.67
La (0.5000, 0.5000, 0.2787)  4 Mn 3.17, 4 Li 3.47
La (0.5000, 0.5000, 0.7213)  4 Mn 3.17, 4 Li 3.47
Mn (0.0000, 0.0000, 0.5000)  8 La 3.17

Calculated values
For the energy relative to the elements, the calculation gives 0.173 eV per atom. The calculated total energy comes out at -5.062 eV per atom. The space-group type is P4/mmm (123).